Material: Bi2BrF2
Method: DFT, GGA-PBE
State: relaxed

The space group is I4_1md (No. 109) and the conventional cell measures 7.601, 7.601 and 9.241 Å, with angles of 90.00, 90.00 and 90.00 degrees. The distinct sites, in fractional coordinates, are Bi at (0.000, 0.236, 0.000), Br at (0.000, 0.000, 0.529) and F at (0.000, 0.327, 0.331).

Its density of states at the Fermi level is 6.83 states/eV per cell. Its volume is 26.7 Å³ per atom. The total magnetization comes out at 0.000 μB/atom. Its uncorrected formation energy is -1.098 eV/atom.

Material: LaTbPr5Ho2
Method: DFT, GGA-PBE
State: relaxed

The space group is Cmc2_1 (No. 36) and the conventional cell measures 5.766, 20.533 and 10.730 Å, with angles of 90.00, 90.00 and 90.00 degrees. The distinct sites, in fractional coordinates, are La at (0.000, 0.085, 0.000), Tb at (0.000, 0.302, 0.561), Pr at (0.000, 0.021, 0.291), Pr at (0.000, 0.114, 0.574), Pr at (0.000, 0.204, 0.255), Pr at (0.000, 0.220, 0.864), Pr at (0.000, 0.484, 0.572), Ho at (0.000, 0.384, 0.869) and Ho at (0.000, 0.386, 0.284).

Its density of states at the Fermi level is 56.41 states/eV per cell. Its volume is 35.3 Å³ per atom. The total magnetization comes out at 0.000 μB/atom. The value obtained for the electronic total energy is -165.19 eV per cell.

Question: Which of these has the highest volume?
Answer: LaTbPr5Ho2